Density functional theory data (GGA-PBE) for a relaxed structure of Ba2Bi3Pt2.

abc: 4.761 6.362 8.028
angles: 108.22 90.00 111.97
Positions (direct):
1 Bi 0.373 0.745 0.554
2 Bi 0.627 0.255 0.446
3 Pt 0.144 0.288 0.265
4 Ba 0.151 0.301 0.800
5 Bi 0.500 0.000 0.000
6 Ba 0.849 0.699 0.200
7 Pt 0.856 0.712 0.735

Formation energy   -4.143 eV per formula unit
Spin magnetization   0.00 μB/f.u.